# 1
# LaGa4Co

LaGa4Co after structural relaxation (PBE, the Alexandria database).

Lattice parameters (Å, degrees): 4.5126 4.5126 6.8015 90.00 90.00 90.00
Space group P4/mmm (No. 123)
Inequivalent atoms, fractional coordinates:
La 0.0000 0.0000 0.0000
Ga 0.0000 0.5000 0.5000
Ga 0.5000 0.5000 0.1695
Co 0.5000 0.5000 0.5000

## Properties
* V: 138.5 Å³ per cell
* density: 5.7 g/cm3
* magnetic moment: 0.0 μB per formula unit
* VASP energy: -0.3076 Ry per atom

=====

# 2
# La12GaCo6

La12GaCo6 after structural relaxation (PBE, the Alexandria database).

Lattice parameters (Å, degrees): 10.0894 10.0894 10.0894 90.00 90.00 90.00
Space group Im-3 (No. 204)
Inequivalent atoms, fractional coordinates:
La 0.0000 0.1885 0.3095
Ga 0.0000 0.0000 0.0000
Co 0.0000 0.3801 0.5000

## Properties
* V: 1027.1 Å³ per cell
* density: 6.8 g/cm3
* magnetic moment: 0.0 μB per formula unit
* VASP energy: -0.4173 Ry per atom